Record 1
Crystalline CuRe2SiN at its relaxed geometry, computed with GGA-PBE.

- uncorrected formation energy (meV per atom) = 2338

Lattice parameters (Å, degrees): 4.458 4.458 4.133 90.00 90.00 90.00
Space group P4/mmm (No. 123)
Unique sites:
Cu: 0.000 0.000 0.000 [1 per cell]
Re: 0.000 0.500 0.500 [2 per cell]
Si: 0.000 0.000 0.500 [1 per cell]
N: 0.500 0.500 0.000 [1 per cell]


Record 2
Crystalline BaLaTe4 at its relaxed geometry, computed with GGA-PBE.

- offset from the most stable computed form (meV per atom) = 0
- uncorrected formation energy (meV per atom) = -1192

Lattice parameters (Å, degrees): 7.111 7.111 8.650 90.00 90.00 90.00
Space group P4/nbm (No. 125, origin choice 2)
Unique sites:
Ba: 0.250 0.250 0.000 [2 per cell]
La: 0.250 0.250 0.500 [2 per cell]
Te: 0.101 0.601 0.274 [8 per cell]


Record 3
Crystalline TeRuBr2 at its relaxed geometry, computed with GGA-PBE.

- uncorrected formation energy (meV per atom) = 955

Lattice parameters (Å, degrees): 6.803 8.442 3.289 90.00 90.00 90.00
Space group Cmmm (No. 65)
Unique sites:
Te: 0.000 0.000 0.000 [2 per cell]
Ru: 0.000 0.500 0.000 [2 per cell]
Br: 0.250 0.250 0.500 [4 per cell]


Record 4
Crystalline Ac2ScTl3 at its relaxed geometry, computed with GGA-PBE.

- offset from the most stable computed form (meV per atom) = 185
- calculated formation energy (kJ/mol of formula units) = -55

Lattice parameters (Å, degrees): 3.896 6.620 16.067 90.00 90.00 90.00
Space group Immm (No. 71)
Unique sites:
Ac: 0.000 0.000 0.178 [4 per cell]
Sc: 0.000 0.000 0.500 [2 per cell]
Tl: 0.000 0.500 0.142 [4 per cell]
Tl: 0.000 0.500 0.500 [2 per cell]


Record 5
Crystalline Mn2OsW at its relaxed geometry, computed with GGA-PBE.

- calculated formation energy (kJ/mol of formula units) = 41

Lattice parameters (Å, degrees): 4.163 4.163 3.148 90.00 90.00 90.00
Space group P4/mmm (No. 123)
Unique sites:
Mn: 0.000 0.500 0.000 [2 per cell]
Os: 0.000 0.000 0.500 [1 per cell]
W: 0.500 0.500 0.500 [1 per cell]


Record 6
Crystalline PrPdBr at its relaxed geometry, computed with GGA-PBE.

- uncorrected formation energy (meV per atom) = -1157

Lattice parameters (Å, degrees): 3.988 3.988 10.130 90.00 90.00 90.00
Space group P4/nmm (No. 129, origin choice 2)
Unique sites:
Pr: 0.250 0.250 0.212 [2 per cell]
Pd: 0.250 0.750 0.000 [2 per cell]
Br: 0.250 0.250 0.642 [2 per cell]


Record 7
Crystalline Li2ScTa at its relaxed geometry, computed with GGA-PBE.

- offset from the most stable computed form (meV per atom) = 196
- calculated formation energy (kJ/mol of formula units) = 145

Lattice parameters (Å, degrees): 3.154 4.625 10.500 90.00 90.00 90.00
Space group Cmmm (No. 65)
Unique sites:
Li: 0.000 0.000 0.243 [4 per cell]
Sc: 0.000 0.500 0.500 [2 per cell]
Ta: 0.000 0.500 0.000 [2 per cell]


Record 8
Crystalline RbVNiSb2 at its relaxed geometry, computed with GGA-PBE.

- uncorrected formation energy (meV per atom) = 873

Lattice parameters (Å, degrees): 5.129 5.129 6.190 90.00 90.00 90.00
Space group P4/mmm (No. 123)
Unique sites:
Rb: 0.000 0.000 0.000 [1 per cell]
V: 0.000 0.000 0.500 [1 per cell]
Ni: 0.500 0.500 0.000 [1 per cell]
Sb: 0.000 0.500 0.500 [2 per cell]


| no. | density of states at the Fermi level (states/eV per cell) | calculated total energy (eV/atom) |
| --- | --- | --- |
| 1 | 4.877 | -6.210 |
| 2 | 9.574 | -4.428 |
| 3 | 8.502 | -2.985 |
| 4 | 16.051 | -3.703 |
| 5 | 2.549 | -10.524 |
| 6 | 3.849 | -5.039 |
| 7 | 7.205 | -5.128 |
| 8 | 9.961 | -3.949 |